No. 1
Li2InFe3O6 | PBE with a Hubbard U | relaxed

Values from the calculation:
- Space-group type: C2/m, No. 12
- Crystal system: monoclinic
- E_tot: -5.99 eV per atom
- V: 126 Å³/f.u.

```
Li2InFe3O6
1.0
3.1123 0.0000 0.0000
0.0000 6.2743 0.1983
-1.5562 -1.8359 6.3820
In Fe O Li
1 3 6 2
direct
0.5000 0.0000 0.0000 In
0.8262 0.1784 0.6523 Fe
0.1738 0.8216 0.3477 Fe
0.5000 0.5000 0.0000 Fe
0.3357 0.4021 0.6714 O
0.0007 0.7527 0.0014 O
0.3327 0.9420 0.6654 O
0.9993 0.2473 0.9986 O
0.6673 0.0580 0.3346 O
0.6643 0.5979 0.3286 O
0.1740 0.3614 0.3479 Li
0.8260 0.6386 0.6521 Li
```

No. 2
Li3In2FeO6 | PBE with a Hubbard U | relaxed

Values from the calculation:
- Space-group type: C2/m, No. 12
- Crystal system: monoclinic
- E_tot: -5.46 eV per atom
- V: 126 Å³/f.u.

```
Li3In2FeO6
1.0
5.4415 -0.0409 0.0432
-2.7549 4.6928 0.0432
-0.8568 -1.4835 4.9336
O Li Fe In
6 3 1 2
direct
0.6260 0.9290 0.7694 O
0.7611 0.7611 0.2299 O
0.0710 0.3740 0.2306 O
0.9290 0.6260 0.7694 O
0.2389 0.2389 0.7701 O
0.3740 0.0710 0.2306 O
0.1397 0.8603 0.5000 Li
0.8603 0.1397 0.5000 Li
0.5000 0.5000 0.5000 Li
0.0000 0.0000 0.0000 Fe
0.3319 0.6681 0.0000 In
0.6681 0.3319 0.0000 In
```